# 1
# In4SnHg5 (PBE-GGA, relaxed)
# **E_form**: 21.9 meV/atom
# **N(E_F)**: 4.6 states/eV per cell
data_In4SnHg5
_chemical_formula_sum 'In4 Sn1 Hg5'
_cell_length_a 3.8731
_cell_length_b 3.8731
_cell_length_c 17.6260
_cell_angle_alpha 90.00
_cell_angle_beta 90.00
_cell_angle_gamma 90.00
_symmetry_space_group_name_H-M 'P 4/m m m'
_symmetry_Int_Tables_number 123
_symmetry_space_group_name_Hall '-P 4 2'
loop_
_atom_site_label
_atom_site_fract_x
_atom_site_fract_y
_atom_site_fract_z
In1 0.0000 0.0000 0.0994
In2 0.0000 0.0000 0.2991
Sn1 0.0000 0.0000 0.5000
Hg1 0.5000 0.5000 0.0000
Hg2 0.5000 0.5000 0.1982
Hg3 0.5000 0.5000 0.3970

---

# 2
# Nd2Ni4P3Pd (PBE-GGA, relaxed)
# **E_form**: -844.5 meV/atom
# **N(E_F)**: 7.4 states/eV per cell
data_Nd2Ni4P3Pd
_chemical_formula_sum 'Nd2 Ni4 P3 Pd1'
_cell_length_a 4.0208
_cell_length_b 4.0208
_cell_length_c 9.6029
_cell_angle_alpha 90.00
_cell_angle_beta 90.00
_cell_angle_gamma 90.00
_symmetry_space_group_name_H-M 'P -4 m 2'
_symmetry_Int_Tables_number 115
_symmetry_space_group_name_Hall 'P -4 -2'
loop_
_atom_site_label
_atom_site_fract_x
_atom_site_fract_y
_atom_site_fract_z
Nd1 0.0000 0.5000 0.2462
Ni1 0.0000 0.0000 0.0000
Ni2 0.0000 0.5000 0.6426
Ni3 0.5000 0.5000 0.0000
P1 0.0000 0.5000 0.8748
P2 0.5000 0.5000 0.5000
Pd1 0.0000 0.0000 0.5000

---

# 3
# Ca2TlAgI6 (PBE-GGA, relaxed)
# **Formation energy (no corrections)**: -1.10 eV per atom
# **N(E_F)**: 0.0 states/eV per cell
data_Ca2TlAgI6
_chemical_formula_sum 'Ca6 Tl3 Ag3 I18'
_cell_length_a 8.0647
_cell_length_b 8.0647
_cell_length_c 21.8220
_cell_angle_alpha 90.00
_cell_angle_beta 90.00
_cell_angle_gamma 120.00
_symmetry_space_group_name_H-M 'R 3'
_symmetry_Int_Tables_number 146
_symmetry_space_group_name_Hall 'R 3'
loop_
_atom_site_label
_atom_site_fract_x
_atom_site_fract_y
_atom_site_fract_z
Ca1 0.0000 0.0000 0.0000
Ca2 0.0000 0.0000 0.4922
Tl1 0.0000 0.0000 0.3011
Ag1 0.0000 0.0000 0.8109
I1 0.0058 0.3359 0.0775
I2 0.0598 0.7103 0.5714

---

# 4
# YTl2SnAu (PBE-GGA, relaxed)
# **E_form**: 220.8 meV/atom
# **N(E_F)**: 4.1 states/eV per cell
data_YTl2SnAu
_chemical_formula_sum 'Y1 Tl2 Sn1 Au1'
_cell_length_a 5.3990
_cell_length_b 5.3990
_cell_length_c 5.4640
_cell_angle_alpha 90.00
_cell_angle_beta 90.00
_cell_angle_gamma 90.00
_symmetry_space_group_name_H-M 'P 4/m m m'
_symmetry_Int_Tables_number 123
_symmetry_space_group_name_Hall '-P 4 2'
loop_
_atom_site_label
_atom_site_fract_x
_atom_site_fract_y
_atom_site_fract_z
Y1 0.0000 0.0000 0.0000
Tl1 0.0000 0.5000 0.5000
Sn1 0.5000 0.5000 0.0000
Au1 0.5000 0.5000 0.5000

---

# 5
# Zr2AlAs2 (PBE-GGA, relaxed)
# **E_form**: -657.0 meV/atom
# **N(E_F)**: 8.4 states/eV per cell
data_Zr2AlAs2
_chemical_formula_sum 'Zr4 Al2 As4'
_cell_length_a 7.3612
_cell_length_b 7.3612
_cell_length_c 3.5678
_cell_angle_alpha 90.00
_cell_angle_beta 90.00
_cell_angle_gamma 90.00
_symmetry_space_group_name_H-M 'P 4/m b m'
_symmetry_Int_Tables_number 127
_symmetry_space_group_name_Hall '-P 4 2ab'
loop_
_atom_site_label
_atom_site_fract_x
_atom_site_fract_y
_atom_site_fract_z
Zr1 0.1523 0.3477 0.0000
Al1 0.0000 0.0000 0.5000
As1 0.1445 0.6445 0.5000

---

# 6
# TmMg2Bi (PBE-GGA, relaxed)
# **E_form**: -295.8 meV/atom
# **N(E_F)**: 2.4 states/eV per cell
data_TmMg2Bi
_chemical_formula_sum 'Tm1 Mg2 Bi1'
_cell_length_a 4.5488
_cell_length_b 4.5488
_cell_length_c 4.9373
_cell_angle_alpha 90.00
_cell_angle_beta 90.00
_cell_angle_gamma 90.00
_symmetry_space_group_name_H-M 'P 4/m m m'
_symmetry_Int_Tables_number 123
_symmetry_space_group_name_Hall '-P 4 2'
loop_
_atom_site_label
_atom_site_fract_x
_atom_site_fract_y
_atom_site_fract_z
Tm1 0.0000 0.0000 0.0000
Mg1 0.0000 0.5000 0.5000
Bi1 0.5000 0.5000 0.0000